Entry one
This record from Alexandria describes a geometry-optimized TcAs2Au structure. The functional is PBE.

abc: 8.225 8.225 8.225
angles: 22.20 22.20 22.20
Fractional positions:
As 0.010 0.010 0.010
As 0.490 0.490 0.490
Au 0.250 0.250 0.250
Tc 0.750 0.750 0.750

- DOS(E_F) (states/eV/f.u.) = 2.17



Entry two
This record from Alexandria describes a geometry-optimized TcAs2Au structure. The functional is PBE.

abc: 4.799 4.799 4.799
angles: 127.80 127.80 76.95
Fractional positions:
As 0.000 0.000 0.000
As 0.500 0.500 0.000
Au 0.250 0.750 0.500
Tc 0.750 0.250 0.500

- DOS(E_F) (states/eV/f.u.) = 4.00



Stability summary: most stable entry one, least stable entry two.



Entry one
This record from Alexandria describes a geometry-optimized TcAs2Au structure. The functional is PBE.

abc: 4.588 4.588 4.588
angles: 60.00 60.00 60.00
Fractional positions:
As 0.250 0.250 0.250
As 0.750 0.750 0.750
Au 0.500 0.500 0.500
Tc 0.000 0.000 0.000

- DOS(E_F) (states/eV/f.u.) = 3.98



Entry two
This record from Alexandria describes a geometry-optimized TcAs2Au structure. The functional is PBE.

abc: 6.447 6.447 6.447
angles: 153.89 136.42 51.52
Fractional positions:
As 0.076 0.076 0.000
As 0.424 0.424 0.000
Au 0.750 0.250 0.500
Tc 0.250 0.750 0.500

- DOS(E_F) (states/eV/f.u.) = 2.43



Stability summary: most stable entry two, least stable entry one.